## LiAg3Sn (PBE)

Data for a relaxed structure of LiAg3Sn.

Computed properties:
* ΔE_f: -7 kJ per mole of atoms
* uncorrected energy: -2.967 eV/atom
* symmetry: P2_1/m, No. 11
* polymorph energy (0 for the lowest one): 87 meV per atom
* volume: 19.87 Å³/atom
* spin magnetization: 0.000 μB/atom

```
LiAg3Sn
1.0
5.436 0.000 0.000
0.000 7.571 0.000
-2.615 0.000 4.828
Li Ag Sn
2 6 2
Direct
0.171 0.250 0.332
0.829 0.750 0.668
0.161 0.066 0.847
0.161 0.434 0.847
0.314 0.750 0.641
0.686 0.250 0.359
0.839 0.566 0.153
0.839 0.934 0.153
0.352 0.750 0.163
0.648 0.250 0.837
```